## LaDy2HoAu4 (PBE)

Data for a relaxed LaDy2HoAu4 crystal.

Lattice parameters (Å, degrees): 5.1078 5.1078 9.0914 73.69 73.69 60.00
With the nearest neighbours (Å) after each atom.
Sites, in units of the cell vectors:
Ho1 0.5000 0.5000 0.5000  8 Au 3.00-3.11
Dy1 0.7523 0.7523 0.7431  7 Au 3.07-3.15
La1 0.0000 0.0000 0.0000  8 Au 3.22-3.32
Au1 0.6164 0.6164 0.1509  1 Ho 3.00, 3 Dy 3.09, 3 La 3.22
Dy2 0.2477 0.2477 0.2569  7 Au 3.07-3.15
Au2 0.3836 0.3836 0.8491  1 Ho 3.00, 3 Dy 3.09, 3 La 3.22
Au3 0.8713 0.8713 0.3862  4 Dy 3.07-3.15, 3 Ho 3.11, 1 La 3.32
Au4 0.1287 0.1287 0.6138  4 Dy 3.07-3.15, 3 Ho 3.11, 1 La 3.32

Calculated values
- formation energy from the elements (eV/atom) = -0.83
- space-group type = R-3m, No. 166